# 1
PClF3: relaxed, PBE.

Unit cell a=6.298 b=8.207 c=9.220 alpha=73.19 beta=90.00 gamma=90.00
Each line ends with the local moment (μB).
Sites, in units of the cell vectors:
1 P 0.309 0.339 0.923  0.26
2 P 0.691 0.661 0.077  0.26
3 P 0.809 0.161 0.577  0.26
4 P 0.191 0.839 0.423  0.26
5 Cl 0.876 0.781 0.530  0.28
6 Cl 0.124 0.219 0.470  0.28
7 Cl 0.376 0.719 0.970  0.28
8 Cl 0.624 0.281 0.030  0.28
9 F 0.178 0.309 0.074  0.02
10 F 0.822 0.691 0.926  0.02
11 F 0.678 0.191 0.426  0.02
12 F 0.322 0.809 0.574  0.02
13 F 0.222 0.663 0.390  0.02
14 F 0.778 0.337 0.610  0.02
15 F 0.722 0.837 0.110  0.02
16 F 0.278 0.163 0.890  0.02
17 F 0.626 0.061 0.691  0.11
18 F 0.374 0.939 0.309  0.11
19 F 0.126 0.439 0.809  0.11
20 F 0.874 0.561 0.191  0.11

ΔE_f (raw) = -1.811 eV/atom
E_tot = -4.385 eV/atom
energy relative to the lowest polymorph listed for this composition = 0.00 eV per formula unit


# 2
BeSbTe2: relaxed, PBE.

Unit cell a=3.601 b=5.069 c=5.391 alpha=90.00 beta=90.00 gamma=90.00
Sites, in units of the cell vectors:
1 Sb 0.000 0.500 0.500
2 Te 0.000 0.000 0.000
3 Te 0.500 0.500 0.000
4 Be 0.500 0.000 0.500

density of states at the Fermi level = 0.716 states/eV per atom
ΔE_f (raw) = 0.650 eV/atom
E_tot = -2.883 eV/atom
energy relative to the lowest polymorph listed for this composition = 2.49 eV per formula unit